First-principles (PBE) data for PmSmPt2 after structural relaxation, as listed in the Alexandria database.

Properties
space-group type	No. 160
offset from the most stable computed form	0.1636	eV/atom

```
data_PmSmPt2
_cell_length_a 4.110
_cell_length_b 4.110
_cell_length_c 7.437
_cell_angle_alpha 73.96
_cell_angle_beta 73.96
_cell_angle_gamma 60.00
_symmetry_space_group_name_H-M 'P 1'
_symmetry_Int_Tables_number 1
loop_
_symmetry_equiv_pos_as_xyz
'x,y,z'
loop_
_atom_site_label
_atom_site_type_symbol
_atom_site_fract_x
_atom_site_fract_y
_atom_site_fract_z
Pm1 Pm 0.670 0.670 0.991
Sm1 Sm 0.497 0.497 0.508
Pt1 Pt 0.085 0.085 0.745
Pt2 Pt 0.248 0.248 0.256
```


First-principles (PBE) data for Pm4SmPt after structural relaxation, as listed in the Alexandria database.

Properties
space-group type	No. 36

```
data_Pm4SmPt
_cell_length_a 5.293
_cell_length_b 6.512
_cell_length_c 11.291
_cell_angle_alpha 90.00
_cell_angle_beta 103.55
_cell_angle_gamma 90.00
_symmetry_space_group_name_H-M 'P 1'
_symmetry_Int_Tables_number 1
loop_
_symmetry_equiv_pos_as_xyz
'x,y,z'
loop_
_atom_site_label
_atom_site_type_symbol
_atom_site_fract_x
_atom_site_fract_y
_atom_site_fract_z
Pm1 Pm 0.928 0.412 0.856
Pm2 Pm 0.072 0.912 0.144
Pm3 Pm 0.472 0.790 0.944
Pm4 Pm 0.528 0.290 0.056
Pm5 Pm 0.736 0.569 0.471
Pm6 Pm 0.264 0.069 0.529
Pm7 Pm 0.665 0.068 0.331
Pm8 Pm 0.335 0.568 0.669
Sm1 Sm 0.869 0.931 0.738
Sm2 Sm 0.131 0.431 0.262
Pt1 Pt 0.604 0.664 0.208
Pt2 Pt 0.396 0.164 0.792
```


First-principles (PBE) data for Pm2Sm2Pt3 after structural relaxation, as listed in the Alexandria database.

Properties
space-group type	No. 199
offset from the most stable computed form	0.0000	eV/atom

```
data_Pm2Sm2Pt3
_cell_length_a 7.747
_cell_length_b 7.747
_cell_length_c 7.747
_cell_angle_alpha 109.47
_cell_angle_beta 109.47
_cell_angle_gamma 109.47
_symmetry_space_group_name_H-M 'P 1'
_symmetry_Int_Tables_number 1
loop_
_symmetry_equiv_pos_as_xyz
'x,y,z'
loop_
_atom_site_label
_atom_site_type_symbol
_atom_site_fract_x
_atom_site_fract_y
_atom_site_fract_z
Pm1 Pm 0.500 0.378 0.500
Pm2 Pm 0.000 0.000 0.378
Pm3 Pm 0.622 0.122 0.122
Pm4 Pm 0.878 0.500 0.000
Sm1 Sm 0.000 0.000 0.878
Sm2 Sm 0.500 0.878 0.500
Sm3 Sm 0.122 0.622 0.622
Sm4 Sm 0.378 0.500 0.000
Pt1 Pt 0.750 0.627 0.377
Pt2 Pt 0.250 0.873 0.123
Pt3 Pt 0.623 0.750 0.873
Pt4 Pt 0.877 0.250 0.627
Pt5 Pt 0.373 0.123 0.750
Pt6 Pt 0.127 0.377 0.250
```


First-principles (PBE) data for Pm2SmPt9 after structural relaxation, as listed in the Alexandria database.

Properties
space-group type	No. 166

```
data_Pm2SmPt9
_cell_length_a 5.454
_cell_length_b 5.454
_cell_length_c 9.456
_cell_angle_alpha 73.24
_cell_angle_beta 73.24
_cell_angle_gamma 60.00
_symmetry_space_group_name_H-M 'P 1'
_symmetry_Int_Tables_number 1
loop_
_symmetry_equiv_pos_as_xyz
'x,y,z'
loop_
_atom_site_label
_atom_site_type_symbol
_atom_site_fract_x
_atom_site_fract_y
_atom_site_fract_z
Pm1 Pm 0.861 0.861 0.417
Pm2 Pm 0.139 0.139 0.583
Sm1 Sm 0.000 0.000 0.000
Pt1 Pt 0.667 0.667 0.999
Pt2 Pt 0.333 0.333 0.001
Pt3 Pt 0.500 0.500 0.500
Pt4 Pt 0.414 0.414 0.254
Pt5 Pt 0.919 0.414 0.254
Pt6 Pt 0.414 0.919 0.254
Pt7 Pt 0.586 0.586 0.746
Pt8 Pt 0.586 0.081 0.746
Pt9 Pt 0.081 0.586 0.746
```


First-principles (PBE) data for PmSmPt2 after structural relaxation, as listed in the Alexandria database.

Properties
space-group type	No. 123
offset from the most stable computed form	0.0959	eV/atom

```
data_PmSmPt2
_cell_length_a 3.528
_cell_length_b 5.091
_cell_length_c 5.091
_cell_angle_alpha 90.00
_cell_angle_beta 90.00
_cell_angle_gamma 90.00
_symmetry_space_group_name_H-M 'P 1'
_symmetry_Int_Tables_number 1
loop_
_symmetry_equiv_pos_as_xyz
'x,y,z'
loop_
_atom_site_label
_atom_site_type_symbol
_atom_site_fract_x
_atom_site_fract_y
_atom_site_fract_z
Sm1 Sm 0.500 0.500 0.500
Pt1 Pt 0.000 0.000 0.500
Pt2 Pt 0.000 0.500 0.000
Pm1 Pm 0.500 0.000 0.000
```


First-principles (PBE) data for Pm2SmPt after structural relaxation, as listed in the Alexandria database.

Properties
space-group type	No. 123
offset from the most stable computed form	0.1432	eV/atom

```
data_Pm2SmPt
_cell_length_a 3.661
_cell_length_b 3.661
_cell_length_c 8.665
_cell_angle_alpha 90.00
_cell_angle_beta 90.00
_cell_angle_gamma 90.00
_symmetry_space_group_name_H-M 'P 1'
_symmetry_Int_Tables_number 1
loop_
_symmetry_equiv_pos_as_xyz
'x,y,z'
loop_
_atom_site_label
_atom_site_type_symbol
_atom_site_fract_x
_atom_site_fract_y
_atom_site_fract_z
Sm1 Sm 0.500 0.500 0.500
Pt1 Pt 0.500 0.500 0.000
Pm1 Pm 0.000 0.000 0.806
Pm2 Pm 0.000 0.000 0.194
```


For each record above, in turn, the calculated formation energy values are -1024.8 -297.0 -1008.4 -926.0 -1092.5 -500.7 meV/atom.